A plane-wave DFT calculation with GGA-PBE was carried out for crystalline ScTiFe2Te at its relaxed geometry.

Lattice parameters (Å, degrees): 4.328 5.316 4.328 90.00 90.00 90.00
Element x y z (fractional)
Ti 0.500 0.500 0.500
Te 0.000 0.500 0.000
Fe 0.500 0.000 0.000
Fe 0.000 0.000 0.500
Sc 0.000 0.000 0.000

The calculation puts the uncorrected formation energy at 1230 meV/atom. Its volume is 99.6 Å³/f.u. For the density of states at the Fermi level, the calculation gives 9.587 states/eV/cell.